1.
Material: Ba4Si20Au3
Method: DFT, meta-GGA SCAN
State: single point on PBEsol structure

Computed properties:
Raw formation energy in eV/atom: -0.33
VASP energy in eV/atom: -21.2942

Cell lengths 10.3939, 10.3939, 10.3939 Å; angles 90.00, 90.00, 90.00 degrees
Fractional positions:
Si (0.1837, 0.1837, 0.1837)
Si (0.0000, 0.8829, 0.3058)
Si (0.1171, 0.6942, 0.0000)
Si (0.1171, 0.3058, 0.0000)
Si (0.6837, 0.6837, 0.3163)
Si (0.5000, 0.8058, 0.6171)
Si (0.3163, 0.3163, 0.3163)
Si (0.3163, 0.6837, 0.3163)
Si (0.8058, 0.3829, 0.5000)
Si (0.3058, 0.0000, 0.1171)
Si (0.6942, 0.0000, 0.8829)
Si (0.5000, 0.1942, 0.3829)
Si (0.0000, 0.1171, 0.3058)
Si (0.8829, 0.6942, 0.0000)
Si (0.8163, 0.1837, 0.8163)
Si (0.1837, 0.8163, 0.1837)
Si (0.3058, 0.0000, 0.8829)
Si (0.8829, 0.3058, 0.0000)
Si (0.3163, 0.6837, 0.6837)
Si (0.1942, 0.3829, 0.5000)
Si (0.8058, 0.6171, 0.5000)
Si (0.6837, 0.3163, 0.3163)
Si (0.6837, 0.6837, 0.6837)
Si (0.1837, 0.1837, 0.8163)
Si (0.6171, 0.5000, 0.8058)
Si (0.0000, 0.1171, 0.6942)
Si (0.0000, 0.8829, 0.6942)
Si (0.3829, 0.5000, 0.8058)
Si (0.6171, 0.5000, 0.1942)
Si (0.1837, 0.8163, 0.8163)
Si (0.3163, 0.3163, 0.6837)
Si (0.5000, 0.1942, 0.6171)
Si (0.3829, 0.5000, 0.1942)
Si (0.1942, 0.6171, 0.5000)
Si (0.6837, 0.3163, 0.6837)
Si (0.8163, 0.8163, 0.1837)
Si (0.8163, 0.1837, 0.1837)
Si (0.6942, 0.0000, 0.1171)
Si (0.5000, 0.8058, 0.3829)
Si (0.8163, 0.8163, 0.8163)
Au (0.5000, 0.0000, 0.2500)
Au (0.0000, 0.7500, 0.5000)
Au (0.5000, 0.0000, 0.7500)
Au (0.7500, 0.5000, 0.0000)
Au (0.2500, 0.5000, 0.0000)
Au (0.0000, 0.2500, 0.5000)
Ba (0.7500, 0.0000, 0.5000)
Ba (0.0000, 0.5000, 0.2500)
Ba (0.5000, 0.7500, 0.0000)
Ba (0.0000, 0.5000, 0.7500)
Ba (0.2500, 0.0000, 0.5000)
Ba (0.5000, 0.2500, 0.0000)
Ba (0.5000, 0.5000, 0.5000)
Ba (0.0000, 0.0000, 0.0000)


2.
Material: Ba4Si21Au2
Method: DFT, meta-GGA SCAN
State: single point on PBEsol structure

Computed properties:
Raw formation energy in eV/atom: -0.27
VASP energy in eV/atom: -19.0451

Cell lengths 10.3345, 10.3856, 10.3856 Å; angles 89.97, 90.00, 90.00 degrees
Fractional positions:
Si (0.3688, 0.1978, 0.9984)
Si (0.9431, 0.5011, 0.8814)
Si (0.8674, 0.9984, 0.8062)
Si (0.0652, 0.3177, 0.1833)
Si (0.2500, 0.3811, 0.3056)
Si (0.4337, 0.6854, 0.8142)
Si (0.1326, 0.8062, 0.9984)
Si (0.6312, 0.9984, 0.1978)
Si (0.9337, 0.8142, 0.6854)
Si (0.4431, 0.8814, 0.5011)
Si (0.2500, 0.6169, 0.6918)
Si (0.1312, 0.1978, 0.9984)
Si (0.2500, 0.7502, 0.4999)
Si (0.4348, 0.3177, 0.1833)
Si (0.7500, 0.3056, 0.3811)
Si (0.7500, 0.3054, 0.6192)
Si (0.0568, 0.1177, 0.5013)
Si (0.0654, 0.3181, 0.8132)
Si (0.9348, 0.1833, 0.3177)
Si (0.9341, 0.1826, 0.6858)
Si (0.8688, 0.9984, 0.1978)
Si (0.9432, 0.5013, 0.1177)
Si (0.5568, 0.5013, 0.1177)
Si (0.5654, 0.8132, 0.3181)
Si (0.0663, 0.6854, 0.8142)
Si (0.5569, 0.5011, 0.8814)
Si (0.7500, 0.6918, 0.6169)
Si (0.0569, 0.8814, 0.5011)
Si (0.5659, 0.1826, 0.6858)
Si (0.6326, 0.9984, 0.8062)
Si (0.9346, 0.8132, 0.3181)
Si (0.7500, 0.4999, 0.7502)
Si (0.7500, 0.6910, 0.3829)
Si (0.4341, 0.6858, 0.1826)
Si (0.4432, 0.1177, 0.5013)
Si (0.2500, 0.3829, 0.6910)
Si (0.3674, 0.8062, 0.9984)
Si (0.2500, 0.6192, 0.3054)
Si (0.0659, 0.6858, 0.1826)
Si (0.5652, 0.1833, 0.3177)
Si (0.4346, 0.3181, 0.8132)
Si (0.5663, 0.8142, 0.6854)
Ba (0.5000, 0.4882, 0.4882)
Ba (0.2500, 0.0117, 0.2413)
Ba (0.7500, 0.2413, 0.0117)
Ba (0.7500, 0.0003, 0.5000)
Ba (0.7500, 0.7580, 0.0116)
Ba (0.2500, 0.0116, 0.7580)
Ba (0.0000, 0.4882, 0.4882)
Ba (0.2500, 0.5000, 0.0003)
Au (0.0000, 0.0014, 0.0014)
Au (0.7500, 0.4989, 0.2495)
Au (0.5000, 0.0014, 0.0014)
Au (0.2500, 0.2495, 0.4989)


3.
Material: BaSiAu3
Method: DFT, meta-GGA SCAN
State: single point on PBEsol structure

Computed properties:
Relative energy among the computed polymorphs in meV per atom: 1900
Raw formation energy in eV/atom: 1.21
VASP energy in eV/atom: -50.1987

Cell lengths 5.7319, 5.7319, 5.7319 Å; angles 90.00, 90.00, 90.00 degrees
Last column: magnetic moment on the atom in μB.
Fractional positions:
Au (0.0000, 0.5000, 0.0000)  -0.02
Au (0.5000, 0.0000, 0.0000)  -0.02
Au (0.0000, 0.0000, 0.5000)  -0.02
Si (0.5000, 0.5000, 0.5000)  0.29
Ba (0.0000, 0.0000, 0.0000)  -0.01


4.
Material: BaSn3Au
Method: DFT, meta-GGA SCAN
State: single point on PBEsol structure

Computed properties:
ΔE_f in eV/atom: -0.62
VASP energy in eV/atom: -43.9120

Cell lengths 5.0070, 5.0070, 6.5603 Å; angles 112.43, 112.43, 90.00 degrees
Fractional positions:
Sn (0.2416, 0.7416, 0.4831)
Sn (0.5926, 0.5926, 0.1852)
Sn (0.7416, 0.2416, 0.4831)
Au (0.3491, 0.3491, 0.6981)
Ba (0.9932, 0.9932, 0.9863)


5.
Material: BaSrAu2
Method: DFT, meta-GGA SCAN
State: single point on PBEsol structure

Computed properties:
ΔE_f in eV/atom: -0.85
Relative energy among the computed polymorphs in meV per atom: 40
VASP energy in eV/atom: -50.8831

Cell lengths 5.4449, 5.4449, 5.4449 Å; angles 60.00, 60.00, 60.00 degrees
Fractional positions:
Au (0.7500, 0.7500, 0.7500)
Au (0.2500, 0.2500, 0.2500)
Ba (0.0000, 0.0000, 0.0000)
Sr (0.5000, 0.5000, 0.5000)


6.
Material: BaSr2Au
Method: DFT, meta-GGA SCAN
State: single point on PBEsol structure

Computed properties:
ΔE_f in eV/atom: -0.45
Relative energy among the computed polymorphs in meV per atom: 22
VASP energy in eV/atom: -38.7679

Cell lengths 3.9540, 3.9540, 10.2536 Å; angles 90.00, 90.00, 90.00 degrees
Fractional positions:
Au (0.0000, 0.0000, 0.4886)
Ba (0.5000, 0.5000, 0.6764)
Sr (0.0000, 0.0000, 0.0102)
Sr (0.5000, 0.5000, 0.3247)


Number 1: DOS at the Fermi energy 8.143 states/eV/f.u., total magnetization 0.00 μB/atom. Number 2: DOS at the Fermi energy 5.502 states/eV/f.u., total magnetization 0.00 μB/atom. Number 3: DOS at the Fermi energy 3.271 states/eV/f.u., total magnetization 0.18 μB/atom. Number 4: DOS at the Fermi energy 1.376 states/eV/f.u., total magnetization 0.00 μB/atom. Number 5: DOS at the Fermi energy 2.688 states/eV/f.u., total magnetization 0.00 μB/atom. Number 6: DOS at the Fermi energy 3.360 states/eV/f.u., total magnetization 0.00 μB/atom.